# Cs2VF4 GGA+U relaxed
# electronic total energy	-35.80	eV/f.u.
# total moment	3.00	μB per cell
# N(E_F)	0.00	states/eV per cell
data_Cs2VF4
_symmetry_space_group_name_H-M 'P 1'
_symmetry_Int_Tables_number 1
_cell_length_a 8.089
_cell_length_b 8.089
_cell_length_c 8.089
_cell_angle_alpha 148.82
_cell_angle_beta 148.82
_cell_angle_gamma 44.68
loop_
_symmetry_equiv_pos_as_xyz
'x,y,z'
loop_
_atom_site_label
_atom_site_type_symbol
_atom_site_fract_x
_atom_site_fract_y
_atom_site_fract_z
Cs1 Cs 0.148 0.148 0.000
Cs2 Cs 0.852 0.852 0.000
V1 V 0.500 0.500 0.000
F1 F 0.000 0.500 0.500
F2 F 0.358 0.358 0.000
F3 F 0.500 0.000 0.500
F4 F 0.642 0.642 0.000